# CrTcO (PBE with a Hubbard U, relaxed)
# Energy above the lowest structure with this stoichiometry   13.09 eV per formula unit
# Theoretical density   7.25 g/cm3
# Spin magnetization   0.835 μB/atom
# Calculated total energy   -7.958 eV/atom
# Volume   38 Å³/f.u.
data_CrTcO
_symmetry_space_group_name_H-M 'C 1 m 1'
_symmetry_Int_Tables_number 8
_cell_length_a 4.865
_cell_length_b 2.808
_cell_length_c 5.803
_cell_angle_alpha 90.00
_cell_angle_beta 106.37
_cell_angle_gamma 90.00
loop_
_symmetry_equiv_pos_as_xyz
'x,y,z'
'x,-y,z'
'x+1/2,y+1/2,z'
'x+1/2,-y+1/2,z'
loop_
_atom_site_label
_atom_site_type_symbol
_atom_site_fract_x
_atom_site_fract_y
_atom_site_fract_z
Cr1 Cr 0.000 0.000 0.000
Tc1 Tc 0.029 0.500 0.585
O1 O 0.399 0.000 0.195